This record from Alexandria describes Si2RuSe after structural relaxation. The functional is PBE.

Values from the calculation:
**Uncorrected energy**: -5.937 eV/atom
**ΔE_f (raw)**: -0.0357 eV/atom
**DOS(E_F)**: 2.874 states/eV per cell
**Total moment**: 0.00 μB/f.u.

Unit cell a=4.2282 b=4.5059 c=7.3566 alpha=90.00 beta=90.00 gamma=90.00
Last column: nearest neighbours and their distance in Å.
Space group Amm2 (No. 38)
Unique sites:
Si (0.0000, 0.0000, 0.0000) [2 per cell]  3 Ru 2.48-2.65, 2 Si 2.59
Si (0.5000, 0.0000, 0.2042) [2 per cell]  2 Ru 2.41, 3 Se 2.49-2.62, 2 Si 2.59
Ru (0.0000, 0.0000, 0.3601) [2 per cell]  5 Si 2.41-2.65, 2 Se 2.58
Se (0.5000, 0.0000, 0.5605) [2 per cell]  3 Si 2.49-2.62, 2 Ru 2.58


This record from Alexandria describes Si2RuSe after structural relaxation. The functional is PBE.

Values from the calculation:
**Uncorrected energy**: -5.843 eV/atom
**ΔE_f (raw)**: 0.0589 eV/atom
**DOS(E_F)**: 2.007 states/eV per cell
**Total moment**: 0.00 μB/f.u.

Unit cell a=2.9363 b=2.9363 c=7.1394 alpha=90.00 beta=90.00 gamma=90.00
Last column: nearest neighbours and their distance in Å.
Space group P4/mmm (No. 123)
Unique sites:
Si (0.0000, 0.0000, 0.2065) [2 per cell]  4 Ru 2.55
Ru (0.5000, 0.5000, 0.0000) [1 per cell]  8 Si 2.55
Se (0.5000, 0.5000, 0.5000) [1 per cell]  4 Se 2.94, 8 Si 2.95